VASP calculation (PBE+U) on a relaxed CsCeMnO4 crystal.

The structure belongs to space group Imma (No. 74); the cell edges are 6.528, 7.497 and 9.417 Å and the angles 90.00°, 90.00° and 90.00°. The asymmetric unit holds Cs at (0.000, 0.250, 0.155), Ce at (0.000, 0.000, 0.500), Mn at (0.250, 0.250, 0.750), O at (0.000, 0.081, 0.734) and O at (0.206, 0.250, 0.532).

The volume comes out at 16.46 Å³/atom. Its total DFT energy (no corrections) is -6.68 eV/atom.